Record 1
Here is a relaxed structure of LiAc2Pm from Alexandria via LeMat-Bulk. Energies are from PBE.

## Properties
SG: No. 160
E above lowest polymorph: 12 kJ/mol of formula units
Energy relative to the elements: 0.09 eV/atom

Geometry as POSCAR:
```
LiAc2Pm
1.0
1.9288 1.1136 11.8257
-1.9288 1.1136 11.8257
0.0000 -2.2272 11.8257
Li Ac Pm
1 2 1
direct
0.0000 0.0000 0.0000
0.4150 0.4150 0.4150
0.5861 0.5861 0.5861
0.1674 0.1674 0.1674
```

---

Record 2
Here is a relaxed structure of CrHgPd5 from Alexandria via LeMat-Bulk. Energies are from PBE.

## Properties
SG: No. 123
Energy relative to the elements: 0.05 eV/atom

Geometry as POSCAR:
```
CrHgPd5
1.0
4.0801 0.0000 0.0000
0.0000 4.0801 0.0000
0.0000 0.0000 7.0388
Cr Hg Pd
1 1 5
direct
0.0000 0.0000 0.0000
0.5000 0.5000 0.5000
0.0000 0.0000 0.5000
0.0000 0.5000 0.2104
0.0000 0.5000 0.7896
0.5000 0.0000 0.2104
0.5000 0.0000 0.7896
```

---

Record 3
Here is a relaxed structure of Pa2TiIn from Alexandria via LeMat-Bulk. Energies are from PBE.

## Properties
SG: No. 123
E above lowest polymorph: 107 kJ/mol of formula units
Energy relative to the elements: 0.26 eV/atom

Geometry as POSCAR:
```
Pa2TiIn
1.0
3.9096 0.0000 0.0000
0.0000 3.9096 0.0000
0.0000 0.0000 6.3556
Pa Ti In
2 1 1
direct
0.0000 0.0000 0.2171
0.0000 0.0000 0.7829
0.5000 0.5000 0.0000
0.5000 0.5000 0.5000
```

---

Record 4
Here is a relaxed structure of La2CdHg from Alexandria via LeMat-Bulk. Energies are from PBE.

## Properties
SG: No. 99
E above lowest polymorph: 62 kJ/mol of formula units
Energy relative to the elements: -0.25 eV/atom

Geometry as POSCAR:
```
La2CdHg
1.0
4.1024 0.0000 0.0000
0.0000 4.1024 0.0000
0.0000 0.0000 7.3132
La Cd Hg
2 1 1
direct
0.0000 0.0000 0.0000
0.5000 0.5000 0.3176
0.0000 0.0000 0.5418
0.5000 0.5000 0.7775
```